Record 1
NdY6Er3Sc2 | PBE | relaxed

a = 6.084 Å, b = 6.084 Å, c = 11.654 Å
α = 94.97°, β = 94.97°, γ = 119.98°
Sites, in units of the cell vectors:
Nd1 0.000 0.000 0.000
Y1 0.083 0.419 0.247
Y2 0.254 0.254 0.753
Y3 0.419 0.083 0.247
Y4 0.581 0.917 0.753
Y5 0.746 0.746 0.247
Y6 0.917 0.581 0.753
Er1 0.167 0.833 0.500
Er2 0.500 0.500 0.500
Er3 0.833 0.167 0.500
Sc1 0.333 0.667 0.000
Sc2 0.667 0.333 0.000

Properties
M_tot: 0.00 μB/f.u.
Energy of formation from the pure elements: 0.0438 eV per atom
E_tot: -69.378 eV/cell
Calculated density: 5.7 g cm⁻³
D(E_F): 18.1 states/eV per cell

Record 2
Nd4Y2ErSc | PBE | relaxed

a = 5.108 Å, b = 5.119 Å, c = 9.904 Å
α = 90.00°, β = 90.00°, γ = 90.00°
Sites, in units of the cell vectors:
Nd1 0.000 0.000 0.245
Nd2 0.000 0.000 0.755
Nd3 0.500 0.500 0.246
Nd4 0.500 0.500 0.754
Y1 0.000 0.500 0.000
Y2 0.500 0.000 0.500
Er1 0.000 0.500 0.500
Sc1 0.500 0.000 0.000

Properties
M_tot: 0.00 μB/f.u.
Energy of formation from the pure elements: 0.0297 eV per atom
E_tot: -42.657 eV/cell
Calculated density: 6.2 g cm⁻³
D(E_F): 10.9 states/eV per cell

Record 3
Nd2Y5ErSc | PBE | relaxed

a = 10.544 Å, b = 10.544 Å, c = 10.335 Å
α = 90.00°, β = 90.00°, γ = 149.46°
Sites, in units of the cell vectors:
Nd1 0.112 0.888 0.500
Nd2 0.117 0.883 0.921
Nd3 0.883 0.117 0.421
Nd4 0.888 0.112 0.000
Y1 0.015 0.985 0.200
Y2 0.270 0.730 0.518
Y3 0.299 0.701 0.885
Y4 0.367 0.633 0.207
Y5 0.483 0.517 0.926
Y6 0.517 0.483 0.426
Y7 0.633 0.367 0.707
Y8 0.701 0.299 0.385
Y9 0.730 0.270 0.018
Y10 0.985 0.015 0.700
Er1 0.405 0.595 0.640
Er2 0.595 0.405 0.140
Sc1 0.191 0.809 0.203
Sc2 0.809 0.191 0.703

Properties
M_tot: 0.00 μB/f.u.
Energy of formation from the pure elements: 0.1475 eV per atom
E_tot: -102.845 eV/cell
Calculated density: 5.4 g cm⁻³
D(E_F): 27.2 states/eV per cell